{"formula": "Y2MgPb", "functional": "PBE", "state": "relaxed", "dft_energy_ev_per_cell": -17.209, "rho_g_cm3": 5.35, "delta_e_f_kj_per_mol_atoms": 24.66, "lattice": [[6.059, -2.026, -3.481], [-2.029, 6.058, 3.481], [-4.298, 0.266, 5.864]], "species": ["Y", "Y", "Pb", "Mg"], "fractional_positions": [[0.000, 0.258, 0.258], [0.000, 0.742, 0.742], [0.000, 0.500, 0.500], [0.000, 0.000, 0.000]]}